(1)
DFT (PBE) results for LaTb12Sc7 after structural relaxation.

Cell: 9.0676 9.0676 9.0676 Å, 108.29 108.29 108.29°
Sites, in units of the cell vectors:
La1 0.0000 0.0000 0.0000
Tb1 0.0647 0.3004 0.4088
Tb2 0.2006 0.6742 0.3784
Tb3 0.3004 0.4088 0.0647
Tb4 0.3258 0.6216 0.7994
Tb5 0.3784 0.2006 0.6742
Tb6 0.4088 0.0647 0.3004
Tb7 0.5912 0.9353 0.6996
Tb8 0.6216 0.7994 0.3258
Tb9 0.6742 0.3784 0.2006
Tb10 0.6996 0.5912 0.9353
Tb11 0.7994 0.3258 0.6216
Tb12 0.9353 0.6996 0.5912
Sc1 0.0028 0.1046 0.6835
Sc2 0.1046 0.6835 0.0028
Sc3 0.3165 0.9972 0.8954
Sc4 0.5000 0.5000 0.5000
Sc5 0.6835 0.0028 0.1046
Sc6 0.8954 0.3165 0.9972
Sc7 0.9972 0.8954 0.3165

Output
Total moment   1.4 Bohr magnetons per cell
Formation energy   16.3 kJ per mole of atoms
DFT total energy   -5.072 eV/atom
Fermi-level density of states   40.60 states/eV/cell
Space-group type   R-3

=====

(2)
DFT (PBE) results for Cd2NiP after structural relaxation.

Cell: 9.8263 9.8263 9.8263 Å, 156.82 156.82 33.02°
Sites, in units of the cell vectors:
Cd1 0.1180 0.6250 0.9930
Cd2 0.3750 0.3680 0.4930
Cd3 0.6320 0.1250 0.0070
Cd4 0.8750 0.8820 0.5070
Ni1 0.0000 0.0000 0.0000
Ni2 0.7500 0.2500 0.5000
P1 0.2500 0.7500 0.5000
P2 0.5000 0.5000 0.0000

Output
Total moment   0.0 Bohr magnetons per cell
Formation energy   36.2 kJ per mole of atoms
DFT total energy   -2.880 eV/atom
Fermi-level density of states   4.46 states/eV/cell
Space-group type   I-42d

=====

(3)
DFT (PBE) results for Mn2NbGa2 after structural relaxation.

Cell: 7.2815 7.2815 2.7404 Å, 90.00 90.00 90.00°
Sites, in units of the cell vectors:
Mn1 0.1205 0.3795 0.0000
Mn2 0.3795 0.8795 0.0000
Mn3 0.6205 0.1205 0.0000
Mn4 0.8795 0.6205 0.0000
Nb1 0.0000 0.0000 0.0000
Nb2 0.5000 0.5000 0.0000
Ga1 0.1750 0.6750 0.5000
Ga2 0.3250 0.1750 0.5000
Ga3 0.6750 0.8250 0.5000
Ga4 0.8250 0.3250 0.5000

Output
Polymorph energy (0 for the lowest one)   64 meV/atom
Total moment   9.4 Bohr magnetons per cell
Formation energy   -1.3 kJ per mole of atoms
DFT total energy   -6.906 eV/atom
Fermi-level density of states   9.29 states/eV/cell
Space-group type   P4/mbm